The following is a DFT calculation (PBE-GGA) of an optimized crystal structure of Lu2UN.

a = 3.280 Å, b = 3.280 Å, c = 26.159 Å
α = 90.00°, β = 90.00°, γ = 120.00°
Element x y z (fractional)
Lu  0.000  0.000  0.219
Lu  0.000  0.000  0.781
Lu  0.333  0.667  0.447
Lu  0.333  0.667  0.886
Lu  0.667  0.333  0.114
Lu  0.667  0.333  0.553
U  0.000  0.000  0.000
U  0.333  0.667  0.667
U  0.667  0.333  0.333
N  0.000  0.000  0.500
N  0.333  0.667  0.167
N  0.667  0.333  0.833

Summary:
Mass density   12.31 Mg/m³
Total magnetization   2.9 μB per formula unit
Space-group type   No. 166
E   -7.789 eV per atom
Raw formation energy   -0.6251 eV per atom

***

The following is a DFT calculation (PBE-GGA) of an optimized crystal structure of LuUN.

a = 4.473 Å, b = 4.473 Å, c = 7.561 Å
α = 90.00°, β = 90.00°, γ = 90.00°
Element x y z (fractional)
Lu  0.000  0.000  0.000
Lu  0.500  0.500  0.500
U  0.000  0.000  0.464
U  0.500  0.500  0.964
N  0.000  0.000  0.724
N  0.500  0.500  0.224

Summary:
Mass density   9.37 Mg/m³
Total magnetization   3.0 μB per formula unit
Space-group type   No. 107
E   -7.491 eV per atom
Raw formation energy   0.5541 eV per atom

***

The following is a DFT calculation (PBE-GGA) of an optimized crystal structure of Lu3W5N12.

a = 10.973 Å, b = 10.973 Å, c = 10.973 Å
α = 109.47°, β = 109.47°, γ = 109.47°
Element x y z (fractional)
Lu  0.125  0.250  0.375
Lu  0.125  0.375  0.750
Lu  0.250  0.375  0.125
Lu  0.250  0.875  0.625
Lu  0.375  0.125  0.250
Lu  0.375  0.750  0.125
Lu  0.625  0.250  0.875
Lu  0.625  0.875  0.750
Lu  0.750  0.125  0.375
Lu  0.750  0.625  0.875
Lu  0.875  0.625  0.250
Lu  0.875  0.750  0.625
W  0.000  0.000  0.000
W  0.000  0.000  0.500
W  0.000  0.500  0.000
W  0.000  0.500  0.500
W  0.125  0.750  0.875
W  0.125  0.875  0.250
W  0.250  0.125  0.875
W  0.250  0.625  0.375
W  0.375  0.250  0.625
W  0.375  0.625  0.750
W  0.500  0.000  0.000
W  0.500  0.000  0.500
W  0.500  0.500  0.000
W  0.500  0.500  0.500
W  0.625  0.375  0.250
W  0.625  0.750  0.375
W  0.750  0.375  0.625
W  0.750  0.875  0.125
W  0.875  0.125  0.750
W  0.875  0.250  0.125
N  0.025  0.205  0.119
N  0.025  0.320  0.906
N  0.086  0.705  0.680
N  0.086  0.881  0.406
N  0.094  0.619  0.414
N  0.094  0.975  0.680
N  0.119  0.025  0.205
N  0.119  0.594  0.914
N  0.180  0.205  0.586
N  0.180  0.475  0.594
N  0.205  0.119  0.025
N  0.205  0.586  0.180
N  0.295  0.320  0.914
N  0.295  0.475  0.381
N  0.320  0.906  0.025
N  0.320  0.914  0.295
N  0.381  0.295  0.475
N  0.381  0.586  0.906
N  0.406  0.086  0.881
N  0.406  0.820  0.525
N  0.414  0.094  0.619
N  0.414  0.820  0.795
N  0.475  0.381  0.295
N  0.475  0.594  0.180
N  0.525  0.406  0.820
N  0.525  0.619  0.705
N  0.586  0.180  0.205
N  0.586  0.906  0.381
N  0.594  0.180  0.475
N  0.594  0.914  0.119
N  0.619  0.414  0.094
N  0.619  0.705  0.525
N  0.680  0.086  0.705
N  0.680  0.094  0.975
N  0.705  0.525  0.619
N  0.705  0.680  0.086
N  0.795  0.414  0.820
N  0.795  0.881  0.975
N  0.820  0.525  0.406
N  0.820  0.795  0.414
N  0.881  0.406  0.086
N  0.881  0.975  0.795
N  0.906  0.025  0.320
N  0.906  0.381  0.586
N  0.914  0.119  0.594
N  0.914  0.295  0.320
N  0.975  0.680  0.094
N  0.975  0.795  0.881

Summary:
Mass density   10.53 Mg/m³
Total magnetization   0.0 μB per formula unit
Space-group type   No. 230
E   -9.689 eV per atom
Raw formation energy   -0.7775 eV per atom

***

The following is a DFT calculation (PBE-GGA) of an optimized crystal structure of Y3LuN.

a = 4.960 Å, b = 4.960 Å, c = 4.960 Å
α = 90.00°, β = 90.00°, γ = 90.00°
Element x y z (fractional)
Y  0.000  0.000  0.500
Y  0.000  0.500  0.000
Y  0.500  0.000  0.000
Lu  0.500  0.500  0.500
N  0.000  0.000  0.000

Summary:
Mass density   6.20 Mg/m³
Total magnetization   0.0 μB per formula unit
Space-group type   No. 221
E   -6.975 eV per atom
Raw formation energy   -0.5268 eV per atom

***

The following is a DFT calculation (PBE-GGA) of an optimized crystal structure of YLuN.

a = 3.458 Å, b = 3.458 Å, c = 5.857 Å
α = 90.00°, β = 90.00°, γ = 120.00°
Element x y z (fractional)
Y  0.000  0.000  0.000
Lu  0.333  0.667  0.453
N  0.667  0.333  0.244

Summary:
Mass density   7.61 Mg/m³
Total magnetization   0.4 μB per formula unit
Space-group type   No. 156
E   -7.524 eV per atom
Raw formation energy   -1.0870 eV per atom

***

The following is a DFT calculation (PBE-GGA) of an optimized crystal structure of YLu3N.

a = 4.854 Å, b = 4.854 Å, c = 4.854 Å
α = 90.00°, β = 90.00°, γ = 90.00°
Element x y z (fractional)
Y  0.000  0.000  0.000
Lu  0.000  0.500  0.500
Lu  0.500  0.000  0.500
Lu  0.500  0.500  0.000
N  0.500  0.500  0.500

Summary:
Mass density   9.11 Mg/m³
Total magnetization   0.0 μB per formula unit
Space-group type   No. 221
E   -6.200 eV per atom
Raw formation energy   -0.5297 eV per atom

***

The following is a DFT calculation (PBE-GGA) of an optimized crystal structure of YLu2N.

a = 3.377 Å, b = 3.377 Å, c = 27.741 Å
α = 90.00°, β = 90.00°, γ = 120.00°
Element x y z (fractional)
Y  0.000  0.000  0.000
Y  0.333  0.667  0.667
Y  0.667  0.333  0.333
Lu  0.000  0.000  0.120
Lu  0.000  0.000  0.880
Lu  0.333  0.667  0.547
Lu  0.333  0.667  0.787
Lu  0.667  0.333  0.213
Lu  0.667  0.333  0.453
N  0.000  0.000  0.500
N  0.333  0.667  0.167
N  0.667  0.333  0.833

Summary:
Mass density   8.24 Mg/m³
Total magnetization   1.1 μB per formula unit
Space-group type   No. 166
E   -6.677 eV per atom
Raw formation energy   -0.7188 eV per atom

***

The following is a DFT calculation (PBE-GGA) of an optimized crystal structure of Lu4Zn2N.

a = 4.607 Å, b = 4.607 Å, c = 14.041 Å
α = 90.00°, β = 90.00°, γ = 90.00°
Element x y z (fractional)
Lu  0.000  0.000  0.174
Lu  0.000  0.000  0.826
Lu  0.000  0.500  0.000
Lu  0.000  0.500  0.500
Lu  0.500  0.000  0.000
Lu  0.500  0.000  0.500
Lu  0.500  0.500  0.326
Lu  0.500  0.500  0.674
Zn  0.000  0.000  0.373
Zn  0.000  0.000  0.627
Zn  0.500  0.500  0.127
Zn  0.500  0.500  0.873
N  0.000  0.000  0.000
N  0.500  0.500  0.500

Summary:
Mass density   9.41 Mg/m³
Total magnetization   0.0 μB per formula unit
Space-group type   No. 139
E   -4.751 eV per atom
Raw formation energy   -0.6145 eV per atom

***

Copy entry 3 word for word.
The following is a DFT calculation (PBE-GGA) of an optimized crystal structure of Lu3W5N12.

a = 10.973 Å, b = 10.973 Å, c = 10.973 Å
α = 109.47°, β = 109.47°, γ = 109.47°
Element x y z (fractional)
Lu  0.125  0.250  0.375
Lu  0.125  0.375  0.750
Lu  0.250  0.375  0.125
Lu  0.250  0.875  0.625
Lu  0.375  0.125  0.250
Lu  0.375  0.750  0.125
Lu  0.625  0.250  0.875
Lu  0.625  0.875  0.750
Lu  0.750  0.125  0.375
Lu  0.750  0.625  0.875
Lu  0.875  0.625  0.250
Lu  0.875  0.750  0.625
W  0.000  0.000  0.000
W  0.000  0.000  0.500
W  0.000  0.500  0.000
W  0.000  0.500  0.500
W  0.125  0.750  0.875
W  0.125  0.875  0.250
W  0.250  0.125  0.875
W  0.250  0.625  0.375
W  0.375  0.250  0.625
W  0.375  0.625  0.750
W  0.500  0.000  0.000
W  0.500  0.000  0.500
W  0.500  0.500  0.000
W  0.500  0.500  0.500
W  0.625  0.375  0.250
W  0.625  0.750  0.375
W  0.750  0.375  0.625
W  0.750  0.875  0.125
W  0.875  0.125  0.750
W  0.875  0.250  0.125
N  0.025  0.205  0.119
N  0.025  0.320  0.906
N  0.086  0.705  0.680
N  0.086  0.881  0.406
N  0.094  0.619  0.414
N  0.094  0.975  0.680
N  0.119  0.025  0.205
N  0.119  0.594  0.914
N  0.180  0.205  0.586
N  0.180  0.475  0.594
N  0.205  0.119  0.025
N  0.205  0.586  0.180
N  0.295  0.320  0.914
N  0.295  0.475  0.381
N  0.320  0.906  0.025
N  0.320  0.914  0.295
N  0.381  0.295  0.475
N  0.381  0.586  0.906
N  0.406  0.086  0.881
N  0.406  0.820  0.525
N  0.414  0.094  0.619
N  0.414  0.820  0.795
N  0.475  0.381  0.295
N  0.475  0.594  0.180
N  0.525  0.406  0.820
N  0.525  0.619  0.705
N  0.586  0.180  0.205
N  0.586  0.906  0.381
N  0.594  0.180  0.475
N  0.594  0.914  0.119
N  0.619  0.414  0.094
N  0.619  0.705  0.525
N  0.680  0.086  0.705
N  0.680  0.094  0.975
N  0.705  0.525  0.619
N  0.705  0.680  0.086
N  0.795  0.414  0.820
N  0.795  0.881  0.975
N  0.820  0.525  0.406
N  0.820  0.795  0.414
N  0.881  0.406  0.086
N  0.881  0.975  0.795
N  0.906  0.025  0.320
N  0.906  0.381  0.586
N  0.914  0.119  0.594
N  0.914  0.295  0.320
N  0.975  0.680  0.094
N  0.975  0.795  0.881

Summary:
Mass density   10.53 Mg/m³
Total magnetization   0.0 μB per formula unit
Space-group type   No. 230
E   -9.689 eV per atom
Raw formation energy   -0.7775 eV per atom